(1)
Material: Mg2ZrTa
Method: DFT, GGA-PBE
State: optimized geometry

Cell: 3.341 4.702 10.516 Å, 90.00 90.00 90.00°
Space group Immm (No. 71)
Inequivalent atoms, fractional coordinates:
Mg  0.000  0.000  0.241 (multiplicity 4)
Zr  0.000  0.500  0.000 (multiplicity 2)
Ta  0.000  0.500  0.500 (multiplicity 2)

Properties
The calculation puts the volume at 82.6 Å³/f.u. The calculation puts the formation enthalpy at 0 K at 239 meV/atom. The calculation puts the distance to the lowest polymorph of the same formula at 0.144 eV/atom. For the uncorrected energy, the calculation gives -0.416 Ry/atom. Its crystal system is orthorhombic.

(2)
Material: AlAs2Pb
Method: DFT, GGA-PBE
State: optimized geometry

Cell: 3.770 3.770 6.721 Å, 90.00 90.00 90.00°
Space group P4mm (No. 99)
Inequivalent atoms, fractional coordinates:
Al  0.000  0.000  0.000 (multiplicity 1)
As  0.000  0.000  0.368 (multiplicity 1)
As  0.500  0.500  0.249 (multiplicity 1)
Pb  0.500  0.500  0.771 (multiplicity 1)

Properties
The calculation puts the volume at 95.5 Å³/f.u. The calculation puts the formation enthalpy at 0 K at 152 meV/atom. The calculation puts the distance to the lowest polymorph of the same formula at 0.269 eV/atom. For the uncorrected energy, the calculation gives -0.297 Ry/atom. Its crystal system is tetragonal.

(3)
Material: NaDyPb2Cl8
Method: DFT, GGA-PBE
State: optimized geometry

Cell: 6.489 8.599 6.738 Å, 90.00 90.37 90.00°
Space group P2/m (No. 10)
Inequivalent atoms, fractional coordinates:
Na  0.000  0.000  0.000 (multiplicity 1)
Dy  0.000  0.500  0.000 (multiplicity 1)
Pb  0.500  0.245  0.500 (multiplicity 2)
Cl  0.221  0.269  0.156 (multiplicity 4)
Cl  0.243  0.500  0.683 (multiplicity 2)
Cl  0.272  0.000  0.669 (multiplicity 2)

Properties
The calculation puts the volume at 376.0 Å³/f.u. For the uncorrected energy, the calculation gives -0.292 Ry/atom. Its crystal system is monoclinic. For the uncorrected formation energy, the calculation gives -1.636 eV per atom.

(4)
Material: CaSi2Br
Method: DFT, GGA-PBE
State: optimized geometry

Cell: 3.844 3.844 6.221 Å, 90.00 90.00 90.00°
Space group P4/mmm (No. 123)
Inequivalent atoms, fractional coordinates:
Ca  0.000  0.000  0.000 (multiplicity 1)
Si  0.000  0.500  0.500 (multiplicity 2)
Br  0.500  0.500  0.000 (multiplicity 1)

Properties
The calculation puts the volume at 91.9 Å³/f.u. The calculation puts the distance to the lowest polymorph of the same formula at 0.452 eV/atom. For the uncorrected energy, the calculation gives -0.283 Ry/atom. Its crystal system is tetragonal. For the uncorrected formation energy, the calculation gives -0.224 eV per atom.

(5)
Material: NpMn4In
Method: DFT, GGA-PBE
State: optimized geometry

Cell: 7.063 7.063 7.063 Å, 90.00 90.00 90.00°
Space group F-43m (No. 216)
Inequivalent atoms, fractional coordinates:
Np  0.000  0.000  0.000 (multiplicity 4)
Mn  0.124  0.124  0.376 (multiplicity 16)
In  0.250  0.250  0.750 (multiplicity 4)

Properties
The calculation puts the volume at 88.1 Å³/f.u. The calculation puts the formation enthalpy at 0 K at 297 meV/atom. For the uncorrected energy, the calculation gives -0.620 Ry/atom. Its crystal system is cubic.

(6)
Material: Rb2AlInO4
Method: DFT, GGA-PBE
State: optimized geometry

Cell: 5.410 12.466 21.282 Å, 90.00 90.00 90.00°
Space group Fddd (No. 70, origin choice 2)
Inequivalent atoms, fractional coordinates:
Rb  0.125  0.125  0.305 (multiplicity 16)
Al  0.125  0.125  0.625 (multiplicity 8)
In  0.125  0.125  0.125 (multiplicity 8)
O  0.089  0.289  0.833 (multiplicity 32)

Properties
The calculation puts the volume at 179.4 Å³/f.u. For the uncorrected energy, the calculation gives -0.391 Ry/atom. Its crystal system is orthorhombic. For the uncorrected formation energy, the calculation gives -1.790 eV per atom.

(7)
Material: La2CdAg2
Method: DFT, GGA-PBE
State: optimized geometry

Cell: 3.907 3.907 18.539 Å, 90.00 90.00 90.00°
Space group I4/mmm (No. 139)
Inequivalent atoms, fractional coordinates:
La  0.000  0.000  0.108 (multiplicity 4)
Cd  0.000  0.000  0.500 (multiplicity 2)
Ag  0.000  0.500  0.250 (multiplicity 4)

Properties
The calculation puts the volume at 141.5 Å³/f.u. The calculation puts the formation enthalpy at 0 K at -124 meV/atom. For the uncorrected energy, the calculation gives -0.251 Ry/atom. Its crystal system is tetragonal.

(8)
Material: LiTc
Method: DFT, GGA-PBE
State: optimized geometry

Cell: 2.470 10.894 4.369 Å, 90.00 90.00 90.00°
Space group Cmcm (No. 63)
Inequivalent atoms, fractional coordinates:
Li  0.000  0.185  0.250 (multiplicity 4)
Tc  0.000  0.444  0.250 (multiplicity 4)

Properties
The calculation puts the volume at 29.4 Å³/f.u. The calculation puts the formation enthalpy at 0 K at 262 meV/atom. The calculation puts the distance to the lowest polymorph of the same formula at 0.168 eV/atom. For the uncorrected energy, the calculation gives -0.432 Ry/atom. Its crystal system is orthorhombic.

(9)
Material: PmGdBiRh
Method: DFT, GGA-PBE
State: optimized geometry

Cell: 7.434 7.434 7.434 Å, 90.00 90.00 90.00°
Space group F-43m (No. 216)
Inequivalent atoms, fractional coordinates:
Pm  0.000  0.000  0.000 (multiplicity 4)
Gd  0.000  0.000  0.500 (multiplicity 4)
Bi  0.250  0.250  0.250 (multiplicity 4)
Rh  0.250  0.250  0.750 (multiplicity 4)

Properties
The calculation puts the volume at 102.7 Å³/f.u. The calculation puts the formation enthalpy at 0 K at -581 meV/atom. For the uncorrected energy, the calculation gives -0.595 Ry/atom. Its crystal system is cubic.

(10)
Material: PmSmAlSi
Method: DFT, GGA-PBE
State: optimized geometry

Cell: 4.056 4.438 11.177 Å, 90.00 90.00 90.00°
Space group Amm2 (No. 38)
Inequivalent atoms, fractional coordinates:
Pm  0.000  0.000  0.000 (multiplicity 2)
Sm  0.500  0.000  0.716 (multiplicity 2)
Al  0.500  0.000  0.425 (multiplicity 2)
Si  0.000  0.000  0.285 (multiplicity 2)

Properties
The calculation puts the volume at 100.6 Å³/f.u. The calculation puts the distance to the lowest polymorph of the same formula at 0.000 eV/atom. For the uncorrected energy, the calculation gives -0.388 Ry/atom. Its crystal system is orthorhombic. For the uncorrected formation energy, the calculation gives -0.621 eV per atom.

(11)
Material: La3NdIr3
Method: DFT, GGA-PBE
State: optimized geometry

Cell: 8.8286 8.8286 17.2533 Å, 90.00 90.00 120.00°
Space group R-3 (No. 148, hexagonal axes)
Inequivalent atoms, fractional coordinates:
La  0.0190  0.2869  0.1006 (multiplicity 18)
Nd  0.0000  0.0000  0.3253 (multiplicity 6)
Ir  0.0081  0.3771  0.9340 (multiplicity 18)

Properties
The calculation puts the volume at 194.1 Å³/f.u. The calculation puts the formation enthalpy at 0 K at -649 meV/atom. For the uncorrected energy, the calculation gives -0.532 Ry/atom. Its crystal system is trigonal.

(12)
Material: NbTeI
Method: DFT, GGA-PBE
State: optimized geometry

Cell: 15.450 3.684 6.386 Å, 90.00 98.78 90.00°
Space group Cm (No. 8)
Inequivalent atoms, fractional coordinates:
Nb  0.000  0.000  0.000 (multiplicity 2)
Nb  0.000  0.500  0.480 (multiplicity 2)
Te  0.122  0.500  0.203 (multiplicity 2)
Te  0.377  0.000  0.113 (multiplicity 2)
I  0.120  0.000  0.703 (multiplicity 2)
I  0.379  0.500  0.614 (multiplicity 2)

Properties
The calculation puts the volume at 89.8 Å³/f.u. The calculation puts the distance to the lowest polymorph of the same formula at 0.039 eV/atom. For the uncorrected energy, the calculation gives -0.395 Ry/atom. Its crystal system is monoclinic. For the uncorrected formation energy, the calculation gives -0.458 eV per atom.

(13)
Material: CaTcAu2
Method: DFT, GGA-PBE
State: optimized geometry

Cell: 6.841 6.841 6.841 Å, 90.00 90.00 90.00°
Space group Fm-3m (No. 225)
Inequivalent atoms, fractional coordinates:
Ca  0.000  0.000  0.000 (multiplicity 4)
Tc  0.000  0.000  0.500 (multiplicity 4)
Au  0.250  0.250  0.250 (multiplicity 8)

Properties
The calculation puts the volume at 80.0 Å³/f.u. The calculation puts the formation enthalpy at 0 K at 95 meV/atom. The calculation puts the distance to the lowest polymorph of the same formula at 0.076 eV/atom. For the uncorrected energy, the calculation gives -0.341 Ry/atom. Its crystal system is cubic.

(14)
Material: CrSBrN2
Method: DFT, GGA-PBE
State: optimized geometry

Cell: 3.710 3.710 7.006 Å, 90.00 90.00 90.00°
Space group P4/mmm (No. 123)
Inequivalent atoms, fractional coordinates:
Cr  0.000  0.000  0.000 (multiplicity 1)
S  0.500  0.500  0.000 (multiplicity 1)
Br  0.500  0.500  0.500 (multiplicity 1)
N  0.000  0.500  0.500 (multiplicity 2)

Properties
The calculation puts the volume at 96.4 Å³/f.u. The calculation puts the distance to the lowest polymorph of the same formula at 1.284 eV/atom. For the uncorrected energy, the calculation gives -0.327 Ry/atom. Its crystal system is tetragonal. For the uncorrected formation energy, the calculation gives 1.972 eV per atom.

(15)
Material: Pr2PPt3
Method: DFT, GGA-PBE
State: optimized geometry

Cell: 3.994 4.286 7.634 Å, 90.00 90.00 90.00°
Space group Pmm2 (No. 25)
Inequivalent atoms, fractional coordinates:
Pr  0.000  0.000  0.000 (multiplicity 1)
Pr  0.000  0.500  0.498 (multiplicity 1)
P  0.500  0.500  0.815 (multiplicity 1)
Pt  0.500  0.000  0.335 (multiplicity 1)
Pt  0.500  0.000  0.689 (multiplicity 1)
Pt  0.500  0.500  0.126 (multiplicity 1)

Properties
The calculation puts the volume at 130.7 Å³/f.u. The calculation puts the formation enthalpy at 0 K at -1131 meV/atom. For the uncorrected energy, the calculation gives -0.488 Ry/atom. Its crystal system is orthorhombic.

(16)
Material: Re2NiPt
Method: DFT, GGA-PBE
State: optimized geometry

Cell: 6.135 6.135 6.135 Å, 90.00 90.00 90.00°
Space group F-43m (No. 216)
Inequivalent atoms, fractional coordinates:
Re  0.000  0.000  0.000 (multiplicity 4)
Re  0.250  0.250  0.250 (multiplicity 4)
Ni  0.000  0.000  0.500 (multiplicity 4)
Pt  0.250  0.250  0.750 (multiplicity 4)

Properties
The calculation puts the volume at 57.7 Å³/f.u. The calculation puts the formation enthalpy at 0 K at 203 meV/atom. The calculation puts the distance to the lowest polymorph of the same formula at 0.249 eV/atom. For the uncorrected energy, the calculation gives -0.660 Ry/atom. Its crystal system is cubic.

(17)
Material: Ac2ScH8
Method: DFT, GGA-PBE
State: optimized geometry

Cell: 4.016 5.245 12.026 Å, 90.00 90.00 90.00°
Space group Immm (No. 71)
Inequivalent atoms, fractional coordinates:
Ac  0.000  0.000  0.167 (multiplicity 4)
Sc  0.000  0.000  0.500 (multiplicity 2)
H  0.000  0.231  0.363 (multiplicity 8)
H  0.000  0.286  0.000 (multiplicity 4)
H  0.000  0.500  0.202 (multiplicity 4)

Properties
The calculation puts the volume at 126.7 Å³/f.u. For the uncorrected energy, the calculation gives -0.314 Ry/atom. Its crystal system is orthorhombic.